<w>
Na2HgBr4 after structural relaxation, computed with PBE-GGA.

Cell lengths 8.567, 8.574, 14.844 Å; angles 106.82, 90.00, 119.97 degrees
Element x y z (fractional)
Na 0.500 0.000 0.000
Na 0.000 0.000 0.500
Na 0.000 0.500 0.000
Na 0.500 0.500 0.500
Na 0.251 0.000 0.250
Na 0.749 0.000 0.750
Na 0.500 0.000 0.500
Na 0.000 0.000 0.000
Hg 0.938 0.375 0.312
Hg 0.437 0.375 0.812
Hg 0.563 0.625 0.188
Hg 0.062 0.625 0.688
Br 0.370 0.753 0.123
Br 0.870 0.754 0.623
Br 0.130 0.246 0.377
Br 0.630 0.247 0.877
Br 0.130 0.760 0.377
Br 0.630 0.760 0.877
Br 0.627 0.753 0.380
Br 0.127 0.753 0.880
Br 0.884 0.754 0.123
Br 0.383 0.753 0.623
Br 0.873 0.247 0.120
Br 0.373 0.247 0.620
Br 0.370 0.240 0.123
Br 0.870 0.240 0.623
Br 0.617 0.247 0.377
Br 0.116 0.246 0.877

Output
space-group type: C2/c, No. 15

***

<x>
Na2HgBr4 after structural relaxation, computed with PBE-GGA.

Cell lengths 5.673, 5.673, 8.459 Å; angles 70.41, 70.41, 90.00 degrees
Element x y z (fractional)
Na 0.629 0.629 0.743
Na 0.371 0.371 0.257
Hg 0.000 0.000 0.000
Br 0.818 0.818 0.364
Br 0.182 0.182 0.636
Br 0.000 0.500 0.000
Br 0.500 0.000 0.000

Output
space-group type: I4/mmm, No. 139

***

<y>
Na2HgBr4 after structural relaxation, computed with PBE-GGA.

Cell lengths 4.441, 7.334, 7.726 Å; angles 114.73, 106.70, 90.00 degrees
Element x y z (fractional)
Na 0.725 0.729 0.450
Na 0.275 0.271 0.550
Hg 0.000 0.000 0.000
Br 0.884 0.184 0.769
Br 0.116 0.816 0.231
Br 0.638 0.284 0.275
Br 0.362 0.716 0.725

Output
space-group type: C2/m, No. 12

***

Which of them is most stable, and which least? Most stable: <w>; least stable: <x>.

***

<w>
Na2Hg3Br8 after structural relaxation, computed with PBE-GGA.

Cell lengths 6.835, 10.067, 8.368 Å; angles 126.98, 97.17, 90.00 degrees
Element x y z (fractional)
Na 0.462 0.693 0.385
Na 0.538 0.307 0.615
Hg 0.500 0.000 0.000
Hg 0.000 0.298 0.000
Hg 0.000 0.702 0.000
Br 0.163 0.388 0.775
Br 0.837 0.612 0.225
Br 0.213 0.859 0.719
Br 0.787 0.141 0.281
Br 0.307 0.896 0.254
Br 0.307 0.358 0.254
Br 0.693 0.642 0.746
Br 0.693 0.104 0.746

Output
space-group type: C2/m, No. 12

***

<x>
Na2Hg3Br8 after structural relaxation, computed with PBE-GGA.

Cell lengths 7.488, 8.149, 8.162 Å; angles 119.95, 96.33, 90.00 degrees
Element x y z (fractional)
Na 0.410 0.281 0.562
Na 0.590 0.719 0.438
Hg 0.500 0.000 0.000
Hg 0.000 0.251 0.000
Hg 0.000 0.749 0.000
Br 0.910 0.620 0.240
Br 0.090 0.380 0.760
Br 0.870 0.111 0.222
Br 0.130 0.889 0.778
Br 0.633 0.646 0.765
Br 0.633 0.119 0.765
Br 0.367 0.881 0.235
Br 0.367 0.354 0.235

Output
space-group type: C2/m, No. 12

***

Which of them is most stable, and which least? Most stable: <w>; least stable: <x>.

***

<w>
NaHg2Br after structural relaxation, computed with PBE-GGA.

Cell lengths 4.143, 4.119, 16.146 Å; angles 90.00, 97.08, 90.00 degrees
Element x y z (fractional)
Na 0.708 0.750 0.412
Na 0.292 0.250 0.588
Hg 0.595 0.250 0.190
Hg 0.405 0.750 0.810
Hg 0.044 0.750 0.083
Hg 0.956 0.250 0.917
Br 0.203 0.250 0.401
Br 0.797 0.750 0.599

Output
space-group type: P2_1/m, No. 11

***

<x>
NaHg2Br after structural relaxation, computed with PBE-GGA.

Cell lengths 9.484, 9.484, 7.323 Å; angles 49.64, 49.64, 90.00 degrees
Element x y z (fractional)
Na 0.500 0.500 0.000
Na 0.250 0.750 0.500
Hg 0.599 0.125 0.250
Hg 0.151 0.625 0.250
Hg 0.375 0.401 0.750
Hg 0.875 0.849 0.750
Br 0.000 0.000 0.000
Br 0.750 0.250 0.500

Output
space-group type: I-42d, No. 122

***

<y>
NaHg2Br after structural relaxation, computed with PBE-GGA.

Cell lengths 4.237, 4.237, 10.034 Å; angles 77.81, 77.81, 60.00 degrees
Element x y z (fractional)
Na 0.000 0.000 0.000
Hg 0.097 0.097 0.710
Hg 0.903 0.903 0.290
Br 0.500 0.500 0.500

Output
space-group type: R-3m, No. 166

***

Which of them is most stable, and which least? Most stable: <w>; least stable: <y>.

***

<w>
Na2ReHgBr after structural relaxation, computed with PBE-GGA.

Cell lengths 5.737, 5.213, 5.737 Å; angles 90.00, 90.00, 90.00 degrees
Site moments in Bohr magnetons follow the coordinates.
Element x y z (fractional)
Re 0.000 0.500 0.000  3.05
Hg 0.000 0.000 0.000  -0.03
Br 0.500 0.500 0.500  0.04
Na 0.000 0.000 0.500  -0.01
Na 0.500 0.000 0.000  -0.02

Output
space-group type: P4/mmm, No. 123

***

<x>
Na2ReHgBr after structural relaxation, computed with PBE-GGA.

Cell lengths 5.263, 6.491, 5.263 Å; angles 90.00, 90.00, 90.00 degrees
Site moments in Bohr magnetons follow the coordinates.
Element x y z (fractional)
Re 0.500 0.500 0.500  3.60
Hg 0.000 0.500 0.000  0.03
Br 0.000 0.000 0.000  0.00
Na 0.000 0.000 0.500  -0.01
Na 0.500 0.000 0.000  -0.01

Output
space-group type: P4/mmm, No. 123

***

Which of them is most stable, and which least? Most stable: <w>; least stable: <x>.

***

<w>
NbHgBr2 after structural relaxation, computed with PBE-GGA.

Cell lengths 11.831, 11.831, 11.831 Å; angles 16.83, 16.83, 16.83 degrees
Element x y z (fractional)
Nb 0.000 0.000 0.000
Hg 0.500 0.500 0.500
Br 0.931 0.931 0.931
Br 0.069 0.069 0.069

Output
space-group type: R-3m, No. 166

***

<x>
NbHgBr2 after structural relaxation, computed with PBE-GGA.

Cell lengths 9.228, 9.228, 7.160 Å; angles 49.88, 49.88, 90.00 degrees
Site moments in Bohr magnetons follow the coordinates.
Element x y z (fractional)
Nb 0.500 0.500 0.000  1.93
Nb 0.250 0.750 0.500  1.93
Hg 0.000 0.000 0.000  0.03
Hg 0.750 0.250 0.500  0.03
Br 0.493 0.125 0.250  -0.01
Br 0.257 0.625 0.250  0.00
Br 0.375 0.507 0.750  -0.01
Br 0.875 0.743 0.750  0.00

Output
space-group type: I-42d, No. 122

***

Which of them is most stable, and which least? Most stable: <x>; least stable: <w>.

***

<w>
NbHgBr2 after structural relaxation, computed with PBE-GGA.

Cell lengths 11.642, 11.642, 11.642 Å; angles 16.75, 16.75, 16.75 degrees
Element x y z (fractional)
Nb 0.500 0.500 0.500
Hg 0.000 0.000 0.000
Br 0.887 0.887 0.887
Br 0.113 0.113 0.113

Output
space-group type: R-3m, No. 166

***

<x>
NbHgBr2 after structural relaxation, computed with PBE-GGA.

Cell lengths 7.851, 7.899, 18.858 Å; angles 100.45, 101.66, 83.93 degrees
Element x y z (fractional)
Nb 0.796 0.071 0.813
Nb 0.900 0.195 0.702
Nb 0.204 0.929 0.187
Nb 0.100 0.805 0.298
Nb 0.561 0.195 0.700
Nb 0.793 0.424 0.806
Nb 0.439 0.805 0.300
Nb 0.207 0.576 0.194
Hg 0.857 0.629 0.514
Hg 0.395 0.158 0.975
Hg 0.143 0.371 0.486
Hg 0.605 0.842 0.025
Hg 0.672 0.867 0.613
Hg 0.165 0.354 0.867
Hg 0.328 0.133 0.387
Hg 0.835 0.646 0.133
Br 0.206 0.698 0.071
Br 0.346 0.727 0.416
Br 0.794 0.302 0.929
Br 0.654 0.273 0.584
Br 0.065 0.470 0.290
Br 0.513 0.019 0.222
Br 0.935 0.530 0.710
Br 0.487 0.981 0.778
Br 0.797 0.845 0.376
Br 0.155 0.227 0.112
Br 0.203 0.155 0.624
Br 0.845 0.773 0.888
Br 0.934 0.067 0.240
Br 0.066 0.933 0.760
Br 0.539 0.496 0.237
Br 0.461 0.504 0.763

Output
space-group type: P-1, No. 2

***

Which of them is most stable, and which least? Most stable: <x>; least stable: <w>.